No. 1
Here is a relaxed RbMo3Cl7 crystal from the Alexandria database. Energies are from PBE.

Cell lengths 12.610, 12.610, 9.730 Å; angles 69.60, 69.60, 74.69 degrees
Fractional positions:
Rb1 0.930 0.070 0.750
Rb2 0.070 0.930 0.250
Rb3 0.500 0.500 0.500
Rb4 0.500 0.500 0.000
Mo1 0.569 0.016 0.631
Mo2 0.431 0.984 0.369
Mo3 0.984 0.431 0.869
Mo4 0.016 0.569 0.131
Mo5 0.363 0.987 0.657
Mo6 0.637 0.013 0.343
Mo7 0.013 0.637 0.843
Mo8 0.987 0.363 0.157
Mo9 0.544 0.843 0.561
Mo10 0.456 0.157 0.439
Mo11 0.157 0.456 0.939
Mo12 0.843 0.544 0.061
Cl1 0.394 0.151 0.715
Cl2 0.606 0.849 0.285
Cl3 0.849 0.606 0.785
Cl4 0.151 0.394 0.215
Cl5 0.604 0.631 0.642
Cl6 0.396 0.369 0.358
Cl7 0.369 0.396 0.858
Cl8 0.631 0.604 0.142
Cl9 0.478 0.853 0.830
Cl10 0.522 0.147 0.170
Cl11 0.147 0.522 0.670
Cl12 0.853 0.478 0.330
Cl13 0.347 0.822 0.581
Cl14 0.653 0.178 0.419
Cl15 0.178 0.653 0.919
Cl16 0.822 0.347 0.081
Cl17 0.737 0.878 0.533
Cl18 0.263 0.122 0.467
Cl19 0.122 0.263 0.967
Cl20 0.878 0.737 0.033
Cl21 0.661 0.040 0.798
Cl22 0.339 0.960 0.202
Cl23 0.960 0.339 0.702
Cl24 0.040 0.661 0.298
Cl25 0.820 0.030 0.139
Cl26 0.180 0.970 0.861
Cl27 0.970 0.180 0.361
Cl28 0.030 0.820 0.639

* formation energy (no corrections): -110.0 kJ/mol of atoms
* E: -5.357 eV per atom
* crystal system: monoclinic
* density of states at the Fermi level: 0.0 states/eV/cell


No. 2
Here is a relaxed RbMoCl2 crystal from the Alexandria database. Energies are from PBE.

Cell lengths 9.370, 9.370, 9.370 Å; angles 23.73, 23.73, 23.73 degrees
Each line ends with the local moment (μB).
Fractional positions:
Mo1 0.500 0.500 0.500  1.45
Rb1 0.000 0.000 0.000  0.00
Cl1 0.880 0.880 0.880  0.00
Cl2 0.120 0.120 0.120  0.00

* formation energy (no corrections): -10.0 kJ/mol of atoms
* E: -3.977 eV per atom
* crystal system: trigonal
* density of states at the Fermi level: 2.0 states/eV/cell


No. 3
Here is a relaxed Rb3MoCl8 crystal from the Alexandria database. Energies are from PBE.

Cell lengths 9.187, 9.888, 9.888 Å; angles 120.00, 90.00, 90.00 degrees
Each line ends with the local moment (μB).
Fractional positions:
Rb1 0.698 0.695 0.848  0.00
Rb2 0.698 0.152 0.305  0.00
Rb3 0.698 0.152 0.848  0.00
Rb4 0.198 0.305 0.152  0.00
Rb5 0.198 0.848 0.695  0.00
Rb6 0.198 0.848 0.152  0.00
Mo1 0.150 0.333 0.667  0.94
Mo2 0.650 0.667 0.333  0.94
Cl1 0.004 0.110 0.555  0.00
Cl2 0.004 0.445 0.890  0.00
Cl3 0.004 0.445 0.555  0.00
Cl4 0.504 0.890 0.445  0.00
Cl5 0.504 0.555 0.110  0.00
Cl6 0.504 0.555 0.445  0.00
Cl7 0.801 0.442 0.221  0.00
Cl8 0.801 0.779 0.558  0.00
Cl9 0.801 0.779 0.221  0.00
Cl10 0.301 0.558 0.779  0.00
Cl11 0.301 0.221 0.442  0.00
Cl12 0.301 0.221 0.779  0.00
Cl13 0.657 0.333 0.667  -0.06
Cl14 0.157 0.667 0.333  -0.06
Cl15 0.956 0.000 0.000  0.00
Cl16 0.456 0.000 0.000  0.00

* formation energy (no corrections): -131.5 kJ/mol of atoms
* E: -3.738 eV per atom
* crystal system: hexagonal
* density of states at the Fermi level: 15.1 states/eV/cell


No. 4
Here is a relaxed RbMoCl6 crystal from the Alexandria database. Energies are from PBE.

Cell lengths 6.886, 6.886, 7.441 Å; angles 62.44, 62.44, 60.00 degrees
Each line ends with the local moment (μB).
Fractional positions:
Rb1 0.500 0.500 0.500  0.00
Mo1 0.000 0.000 0.000  0.87
Cl1 0.911 0.911 0.784  0.00
Cl2 0.393 0.911 0.784  0.00
Cl3 0.089 0.607 0.216  0.00
Cl4 0.607 0.089 0.216  0.00
Cl5 0.089 0.089 0.216  0.00
Cl6 0.911 0.393 0.784  0.00

* formation energy (no corrections): -106.7 kJ/mol of atoms
* E: -3.966 eV per atom
* crystal system: trigonal
* density of states at the Fermi level: 5.7 states/eV/cell


No. 5
Here is a relaxed Rb3Mo2Cl9 crystal from the Alexandria database. Energies are from PBE.

Cell lengths 7.314, 7.314, 17.904 Å; angles 90.00, 90.00, 120.00 degrees
Each line ends with the local moment (μB).
Fractional positions:
Rb1 0.000 0.000 0.250  0.00
Rb2 0.000 0.000 0.750  0.00
Rb3 0.333 0.667 0.065  0.00
Rb4 0.667 0.333 0.565  0.00
Rb5 0.333 0.667 0.435  0.00
Rb6 0.667 0.333 0.935  0.00
Mo1 0.333 0.667 0.828  1.62
Mo2 0.667 0.333 0.328  1.62
Mo3 0.667 0.333 0.172  1.62
Mo4 0.333 0.667 0.672  1.62
Cl1 0.823 0.177 0.405  0.02
Cl2 0.823 0.646 0.405  0.02
Cl3 0.354 0.177 0.405  0.02
Cl4 0.646 0.823 0.905  0.02
Cl5 0.177 0.354 0.595  0.02
Cl6 0.177 0.823 0.905  0.02
Cl7 0.177 0.354 0.905  0.02
Cl8 0.823 0.177 0.095  0.02
Cl9 0.354 0.177 0.095  0.02
Cl10 0.646 0.823 0.595  0.02
Cl11 0.503 0.007 0.250  0.02
Cl12 0.497 0.503 0.750  0.02
Cl13 0.007 0.503 0.750  0.02
Cl14 0.993 0.497 0.250  0.02
Cl15 0.503 0.497 0.250  0.02
Cl16 0.497 0.993 0.750  0.02
Cl17 0.823 0.646 0.095  0.02
Cl18 0.177 0.823 0.595  0.02

* formation energy (no corrections): -133.9 kJ/mol of atoms
* E: -4.330 eV per atom
* crystal system: hexagonal


No. 6
Here is a relaxed RbMo2Cl8 crystal from the Alexandria database. Energies are from PBE.

Cell lengths 4.913, 10.032, 10.299 Å; angles 135.12, 103.78, 90.00 degrees
Each line ends with the local moment (μB).
Fractional positions:
Mo1 0.387 0.451 0.774  2.05
Mo2 0.613 0.549 0.226  2.05
Rb1 0.000 0.000 0.000  0.00
Cl1 0.096 0.505 0.193  0.01
Cl2 0.904 0.495 0.807  0.01
Cl3 0.572 0.729 0.144  0.01
Cl4 0.223 0.163 0.444  0.06
Cl5 0.376 0.672 0.753  0.04
Cl6 0.428 0.271 0.856  0.01
Cl7 0.777 0.837 0.556  0.06
Cl8 0.624 0.328 0.247  0.04

* formation energy (no corrections): -95.6 kJ/mol of atoms
* E: -4.391 eV per atom
* crystal system: monoclinic
* density of states at the Fermi level: 9.0 states/eV/cell


No. 7
Here is a relaxed RbMoCl3 crystal from the Alexandria database. Energies are from PBE.

Cell lengths 5.878, 5.878, 5.878 Å; angles 90.00, 90.00, 90.00 degrees
Each line ends with the local moment (μB).
Fractional positions:
Mo1 0.500 0.500 0.500  3.97
Rb1 0.000 0.000 0.000  -0.03
Cl1 0.000 0.500 0.000  -0.15
Cl2 0.000 0.000 0.500  -0.30
Cl3 0.500 0.000 0.000  -0.07

* formation energy (no corrections): 39.4 kJ/mol of atoms
* E: -3.060 eV per atom
* crystal system: cubic
* density of states at the Fermi level: 14.5 states/eV/cell


No. 8
Here is a relaxed RbMoCl6 crystal from the Alexandria database. Energies are from PBE.

Cell lengths 6.389, 6.408, 6.408 Å; angles 100.98, 100.75, 100.75 degrees
Each line ends with the local moment (μB).
Fractional positions:
Rb1 0.500 0.500 0.500  0.00
Mo1 0.000 0.000 0.000  0.87
Cl1 0.072 0.733 0.733  0.00
Cl2 0.733 0.732 0.067  0.00
Cl3 0.267 0.268 0.933  0.00
Cl4 0.928 0.267 0.267  0.00
Cl5 0.267 0.933 0.268  0.00
Cl6 0.733 0.067 0.732  0.00

* formation energy (no corrections): -107.7 kJ/mol of atoms
* E: -3.976 eV per atom
* crystal system: monoclinic
* density of states at the Fermi level: 6.6 states/eV/cell


No. 9
Here is a relaxed RbMoCl3 crystal from the Alexandria database. Energies are from PBE.

Cell lengths 5.198, 5.198, 5.198 Å; angles 90.00, 90.00, 90.00 degrees
Each line ends with the local moment (μB).
Fractional positions:
Mo1 0.000 0.000 0.000  3.29
Rb1 0.500 0.500 0.500  0.00
Cl1 0.000 0.500 0.000  0.02
Cl2 0.000 0.000 0.500  0.02
Cl3 0.500 0.000 0.000  0.04

* formation energy (no corrections): -92.3 kJ/mol of atoms
* E: -4.424 eV per atom
* crystal system: cubic
* density of states at the Fermi level: 0.7 states/eV/cell


No. 10
Here is a relaxed RbMoCl2 crystal from the Alexandria database. Energies are from PBE.

Cell lengths 5.330, 5.330, 5.330 Å; angles 60.00, 60.00, 60.00 degrees
Each line ends with the local moment (μB).
Fractional positions:
Mo1 0.500 0.500 0.500  4.02
Rb1 0.000 0.000 0.000  0.02
Cl1 0.250 0.250 0.250  0.02
Cl2 0.750 0.750 0.750  0.02

* formation energy (no corrections): -12.0 kJ/mol of atoms
* E: -3.998 eV per atom
* crystal system: cubic
* density of states at the Fermi level: 0.7 states/eV/cell


No. 11
Here is a relaxed Rb2ReMoCl6 crystal from the Alexandria database. Energies are from PBE.

Cell lengths 7.567, 7.567, 7.022 Å; angles 57.40, 57.40, 90.00 degrees
Each line ends with the local moment (μB).
Fractional positions:
Re1 0.000 0.000 0.000  -0.66
Mo1 0.500 0.500 0.000  3.14
Rb1 0.750 0.250 0.500  0.00
Rb2 0.250 0.750 0.500  0.00
Cl1 0.249 0.249 0.503  -0.02
Cl2 0.751 0.751 0.497  -0.02
Cl3 0.232 0.232 0.000  0.01
Cl4 0.768 0.768 0.000  0.01
Cl5 0.768 0.232 0.000  0.01
Cl6 0.232 0.768 0.000  0.01

* formation energy (no corrections): -64.9 kJ/mol of atoms
* E: -4.302 eV per atom
* crystal system: tetragonal
* density of states at the Fermi level: 4.9 states/eV/cell


No. 12
Here is a relaxed Rb2MoRhCl6 crystal from the Alexandria database. Energies are from PBE.

Cell lengths 7.483, 7.483, 6.976 Å; angles 57.57, 57.57, 90.00 degrees
Each line ends with the local moment (μB).
Fractional positions:
Mo1 0.500 0.500 0.000  2.14
Rh1 0.000 0.000 0.000  -0.24
Rb1 0.750 0.250 0.500  0.00
Rb2 0.250 0.750 0.500  0.00
Cl1 0.246 0.246 0.507  0.01
Cl2 0.754 0.754 0.493  0.01
Cl3 0.262 0.262 0.000  0.01
Cl4 0.738 0.738 0.000  0.01
Cl5 0.738 0.262 0.000  0.01
Cl6 0.262 0.738 0.000  0.01

* formation energy (no corrections): -92.3 kJ/mol of atoms
* E: -4.077 eV per atom
* crystal system: tetragonal
* density of states at the Fermi level: 8.1 states/eV/cell


No. 13
Here is a relaxed Rb2MoSCl5 crystal from the Alexandria database. Energies are from PBE.

Cell lengths 7.168, 7.168, 7.168 Å; angles 94.11, 117.65, 117.65 degrees
Each line ends with the local moment (μB).
Fractional positions:
Rb1 0.500 0.255 0.755  0.00
Rb2 0.500 0.755 0.255  0.00
Mo1 0.000 0.978 0.978  0.93
S1 0.000 0.758 0.758  -0.09
Cl1 0.460 0.234 0.234  0.02
Cl2 0.540 0.774 0.774  0.02
Cl3 0.000 0.774 0.234  0.02
Cl4 0.000 0.234 0.774  0.02
Cl5 0.000 0.237 0.237  -0.01

* formation energy (no corrections): -125.6 kJ/mol of atoms
* E: -4.205 eV per atom
* crystal system: tetragonal


No. 14
Here is a relaxed RbMoS2Cl crystal from the Alexandria database. Energies are from PBE.

Cell lengths 4.709, 4.709, 5.302 Å; angles 90.00, 90.00, 90.00 degrees
Each line ends with the local moment (μB).
Fractional positions:
Mo1 0.000 0.000 0.000  0.51
S1 0.000 0.500 0.000  0.01
S2 0.500 0.000 0.000  0.01
Rb1 0.500 0.500 0.500  0.00
Cl1 0.000 0.000 0.500  0.01

* formation energy (no corrections): -72.9 kJ/mol of atoms
* E: -5.136 eV per atom
* crystal system: tetragonal
* density of states at the Fermi level: 3.9 states/eV/cell


No. 15
Here is a relaxed RbMoSCl2 crystal from the Alexandria database. Energies are from PBE.

Cell lengths 5.864, 5.864, 5.853 Å; angles 90.00, 90.00, 90.00 degrees
Each line ends with the local moment (μB).
Fractional positions:
Mo1 0.500 0.500 0.500  3.98
S1 0.000 0.000 0.500  -0.87
Rb1 0.000 0.000 0.000  -0.04
Cl1 0.000 0.500 0.000  -0.12
Cl2 0.500 0.000 0.000  -0.12

* formation energy (no corrections): 84.7 kJ/mol of atoms
* E: -3.046 eV per atom
* crystal system: tetragonal
* density of states at the Fermi level: 7.2 states/eV/cell


No. 16
Here is a relaxed RbMoS2Cl crystal from the Alexandria database. Energies are from PBE.

Cell lengths 5.787, 5.787, 5.731 Å; angles 90.00, 90.00, 90.00 degrees
Each line ends with the local moment (μB).
Fractional positions:
Mo1 0.500 0.500 0.500  3.95
S1 0.000 0.500 0.000  -0.79
S2 0.500 0.000 0.000  -0.79
Rb1 0.000 0.000 0.000  -0.07
Cl1 0.000 0.000 0.500  -0.10

* formation energy (no corrections): 131.9 kJ/mol of atoms
* E: -3.013 eV per atom
* crystal system: tetragonal
* density of states at the Fermi level: 5.4 states/eV/cell


No. 17
Here is a relaxed RbMoSCl2 crystal from the Alexandria database. Energies are from PBE.

Cell lengths 5.171, 5.171, 4.637 Å; angles 90.00, 90.00, 90.00 degrees
Each line ends with the local moment (μB).
Fractional positions:
Mo1 0.000 0.000 0.000  1.44
S1 0.000 0.000 0.500  -0.05
Rb1 0.500 0.500 0.500  0.00
Cl1 0.000 0.500 0.000  0.03
Cl2 0.500 0.000 0.000  0.03

* formation energy (no corrections): -83.9 kJ/mol of atoms
* E: -4.794 eV per atom
* crystal system: tetragonal
* density of states at the Fermi level: 2.3 states/eV/cell


No. 18
Here is a relaxed Rb2SiMoCl6 crystal from the Alexandria database. Energies are from PBE.

Cell lengths 7.793, 7.793, 7.144 Å; angles 56.95, 56.95, 90.00 degrees
Each line ends with the local moment (μB).
Fractional positions:
Mo1 0.000 0.000 0.000  1.94
Si1 0.500 0.500 0.000  -0.14
Rb1 0.750 0.250 0.500  0.00
Rb2 0.250 0.750 0.500  0.00
Cl1 0.255 0.255 0.490  0.01
Cl2 0.745 0.745 0.510  0.01
Cl3 0.227 0.227 0.000  0.01
Cl4 0.773 0.773 0.000  0.01
Cl5 0.773 0.227 0.000  0.02
Cl6 0.227 0.773 0.000  0.02

* formation energy (no corrections): -92.0 kJ/mol of atoms
* E: -3.880 eV per atom
* crystal system: tetragonal
* density of states at the Fermi level: 5.0 states/eV/cell


No. 19
Here is a relaxed Rb2SrMoCl6 crystal from the Alexandria database. Energies are from PBE.

Cell lengths 7.536, 7.536, 7.536 Å; angles 60.00, 60.00, 90.00 degrees
Each line ends with the local moment (μB).
Fractional positions:
Sr1 0.500 0.500 0.000  -0.01
Mo1 0.000 0.000 0.000  1.66
Rb1 0.750 0.250 0.500  0.00
Rb2 0.250 0.750 0.500  0.00
Cl1 0.234 0.234 0.532  0.01
Cl2 0.766 0.766 0.468  0.01
Cl3 0.234 0.234 0.000  0.01
Cl4 0.766 0.766 0.000  0.01
Cl5 0.766 0.234 0.000  0.01
Cl6 0.234 0.766 0.000  0.01

* formation energy (no corrections): -150.6 kJ/mol of atoms
* E: -4.113 eV per atom
* crystal system: cubic
* density of states at the Fermi level: 6.3 states/eV/cell


No. 20
Here is a relaxed RbTiMoCl2 crystal from the Alexandria database. Energies are from PBE.

Cell lengths 5.078, 7.471, 5.078 Å; angles 90.00, 90.00, 90.00 degrees
Each line ends with the local moment (μB).
Fractional positions:
Mo1 0.000 0.000 0.000  3.31
Cl1 0.000 0.000 0.500  0.01
Cl2 0.500 0.000 0.000  0.07
Rb1 0.000 0.500 0.000  0.04
Ti1 0.500 0.500 0.500  2.25

* formation energy (no corrections): 77.8 kJ/mol of atoms
* E: -3.871 eV per atom
* crystal system: tetragonal
* density of states at the Fermi level: 5.7 states/eV/cell


No. 21
Here is a relaxed Rb2TlMoCl8 crystal from the Alexandria database. Energies are from PBE.

Cell lengths 6.894, 6.894, 9.394 Å; angles 90.00, 90.00, 120.00 degrees
Each line ends with the local moment (μB).
Fractional positions:
Rb1 0.667 0.333 0.188  0.00
Rb2 0.333 0.667 0.812  0.00
Tl1 0.000 0.000 0.500  0.00
Mo1 0.000 0.000 0.000  1.25
Cl1 0.839 0.678 0.853  0.01
Cl2 0.322 0.161 0.853  0.01
Cl3 0.839 0.161 0.853  0.01
Cl4 0.161 0.322 0.147  0.01
Cl5 0.678 0.839 0.147  0.01
Cl6 0.161 0.839 0.147  0.01
Cl7 0.667 0.333 0.518  0.18
Cl8 0.333 0.667 0.482  0.18

* formation energy (no corrections): -108.0 kJ/mol of atoms
* E: -3.612 eV per atom
* crystal system: trigonal
* density of states at the Fermi level: 12.8 states/eV/cell